{"formula": "Lu2P3W4C3", "functional": "GGA-PBE", "state": "optimized geometry", "lattice_angstrom": [[-4.167, 3.916, -0.225], [-5.458, -1.663, 0.448], [3.690, 0.547, 11.606]], "species": ["W", "W", "W", "W", "W", "W", "W", "W", "C", "C", "C", "C", "C", "C", "P", "P", "P", "P", "P", "P", "Lu", "Lu", "Lu", "Lu"], "frac_coords": [[0.854, 0.701, 0.590], [0.200, 0.022, 0.590], [0.800, 0.978, 0.410], [0.701, 0.854, 0.090], [0.978, 0.800, 0.910], [0.299, 0.146, 0.910], [0.146, 0.299, 0.410], [0.022, 0.200, 0.090], [0.000, 0.500, 0.000], [0.842, 0.330, 0.501], [0.670, 0.158, 0.999], [0.500, 0.000, 0.500], [0.158, 0.670, 0.499], [0.330, 0.842, 0.001], [0.788, 0.578, 0.249], [0.578, 0.788, 0.749], [0.422, 0.212, 0.251], [0.052, 0.948, 0.250], [0.948, 0.052, 0.750], [0.212, 0.422, 0.751], [0.536, 0.375, 0.613], [0.625, 0.464, 0.887], [0.375, 0.536, 0.113], [0.464, 0.625, 0.387]], "vol_a3_per_cell": 335, "crystal_system": "monoclinic", "magmom_total_mub_per_cell": 0.00, "energy_ev_per_atom": -9.109}

***

{"formula": "Sc4NiSbN2", "functional": "GGA-PBE", "state": "optimized geometry", "lattice_angstrom": [[-0.949, 2.219, 2.207], [-0.492, -3.183, 0.566], [12.039, -0.797, 5.979]], "species": ["Sb", "Sc", "Sc", "Sc", "Sc", "N", "N", "Ni"], "frac_coords": [[0.667, 0.333, 0.500], [0.667, 0.333, 0.861], [0.333, 0.667, 0.677], [0.333, 0.667, 0.323], [0.667, 0.333, 0.139], [0.000, 0.000, 0.759], [0.000, 0.000, 0.241], [0.333, 0.667, 0.000]], "vol_a3_per_cell": 125, "crystal_system": "hexagonal", "magmom_total_mub_per_cell": 0.02, "energy_ev_per_atom": -7.584}

***

{"formula": "Dy2NiPt", "functional": "GGA-PBE", "state": "optimized geometry", "lattice_angstrom": [[5.533, 0.000, 0.000], [0.000, 4.360, 0.000], [-0.099, 0.000, 7.029]], "species": ["Dy", "Dy", "Dy", "Dy", "Ni", "Ni", "Pt", "Pt"], "frac_coords": [[0.638, 0.750, 0.315], [0.861, 0.750, 0.824], [0.362, 0.250, 0.685], [0.139, 0.250, 0.176], [0.377, 0.750, 0.966], [0.623, 0.250, 0.034], [0.843, 0.250, 0.549], [0.157, 0.750, 0.451]], "vol_a3_per_cell": 170, "crystal_system": "monoclinic", "magmom_total_mub_per_cell": 0.00, "delta_e_f_ev_per_atom": -0.863, "energy_ev_per_atom": -6.070}

***

{"formula": "CoHgGeW", "functional": "GGA-PBE", "state": "optimized geometry", "lattice_angstrom": [[2.268, -3.832, -0.333], [-1.020, -2.926, -3.215], [2.811, -0.642, -3.409]], "species": ["Co", "W", "Ge", "Hg"], "frac_coords": [[0.750, 0.750, 0.750], [0.250, 0.250, 0.250], [0.000, 0.000, 0.000], [0.500, 0.500, 0.500]], "vol_a3_per_cell": 63, "polymorph_energy_mev_per_atom": 0, "crystal_system": "cubic", "magmom_total_mub_per_cell": 0.15, "energy_ev_per_atom": -5.518}